10
Lattice="4.1798 0.0000 0.0000 0.0000 4.1798 0.0000 0.0000 0.0000 10.4688" Properties=species:S:1:pos:R:3 comment="Ce2GaAs3Ir4 PBE-GGA relaxed" volume_a3_per_cell=182.90 spacegroup=P-4m2 pbc="T T T"
Ce 0.0000 2.0899 2.6107
Ce 2.0899 0.0000 7.8581
Ga 2.0899 2.0899 0.0000
As 0.0000 0.0000 0.0000
As 0.0000 2.0899 6.6664
As 2.0899 0.0000 3.8024
Ir 0.0000 0.0000 5.2344
Ir 0.0000 2.0899 9.0717
Ir 2.0899 0.0000 1.3972
Ir 2.0899 2.0899 5.2344

13
Lattice="2.3014 1.3287 8.0405 -2.3014 1.3287 8.0405 0.0000 -2.6574 8.0405" Properties=species:S:1:pos:R:3 comment="Co6Ni7 PBE-GGA relaxed" volume_a3_per_cell=147.52 spacegroup=R-3m pbc="T T T"
Co 0.0000 0.0000 1.1198
Co 0.0000 0.0000 3.6392
Co 0.0000 0.0000 8.0561
Co 0.0000 0.0000 16.0654
Co 0.0000 0.0000 20.4824
Co 0.0000 0.0000 23.0018
Ni -1.1609 -0.6702 10.1402
Ni 0.0000 -1.3405 13.9813
Ni -1.1609 0.6702 13.9813
Ni 0.0000 0.0000 12.0608
Ni 1.1609 -0.6702 10.1402
Ni 0.0000 1.3405 10.1402
Ni 1.1609 0.6702 13.9813

4
Lattice="3.7257 0.0000 0.0000 0.0000 1.5475 4.7522 0.0000 -1.5475 4.7522" Properties=species:S:1:pos:R:3 comment="Mn2NiAs PBE-GGA relaxed" volume_a3_per_cell=54.80 spacegroup=Amm2 pbc="T T T"
Mn 0.0000 0.0000 0.0000
Mn 1.8628 0.0000 3.0903
Ni 1.8628 0.0000 5.5725
As 0.0000 0.0000 7.0199

Number 1: formation energy from the elements -0.765 eV/atom. Number 2: formation energy from the elements 0.154 eV/atom. Number 3: formation energy from the elements -0.036 eV/atom.